[1]
# PBE Na2PI, optimized geometry
data_Na2PI
_cell_length_a 7.6479
_cell_length_b 7.6479
_cell_length_c 7.6479
_cell_angle_alpha 90.00
_cell_angle_beta 90.00
_cell_angle_gamma 90.00
_symmetry_space_group_name_H-M 'F m -3 m'
_symmetry_Int_Tables_number 225
_symmetry_space_group_name_Hall '-F 4 2 3'
loop_
_atom_site_label
_atom_site_fract_x
_atom_site_fract_y
_atom_site_fract_z
Na1 0.2500 0.2500 0.2500
P1 0.0000 0.0000 0.0000
I1 0.0000 0.0000 0.5000
# Final energy in eV for the cell shown: -41.01
# Formation energy from raw total energies in eV per atom: -0.164
# N(E_F) in states/eV per cell: 9.65
# Energy above the lowest structure with this stoichiometry in meV per atom: 71.4
# Size of the total moment in μB per atom: 0.50


[2]
# PBE NaPI6, optimized geometry
data_NaPI6
_cell_length_a 7.2547
_cell_length_b 7.3571
_cell_length_c 7.8497
_cell_angle_alpha 91.83
_cell_angle_beta 113.25
_cell_angle_gamma 109.87
_symmetry_space_group_name_H-M 'P -1'
_symmetry_Int_Tables_number 2
loop_
_symmetry_equiv_pos_as_xyz
'x,y,z'
'-x,-y,-z'
loop_
_atom_site_label
_atom_site_fract_x
_atom_site_fract_y
_atom_site_fract_z
Na1 0.0000 0.0000 0.0000
P1 0.0000 0.5000 0.5000
I1 0.1218 0.3779 0.8468
I2 0.2027 0.8907 0.6960
I3 0.4406 0.6487 0.5684
# Final energy in eV for the cell shown: -17.37
# Formation energy from raw total energies in eV per atom: -0.168
# Size of the total moment in μB per atom: 0.00